[1]
{
  "formula": "Pm2YTl2Cd2",
  "functional": "GGA-PBE",
  "state": "relaxed",
  "magnetic_moment_mub_per_cell": 0.000,
  "formation_enthalpy_0k_ev_per_atom": -0.17,
  "space_group": "R-3m (166)",
  "crystal_system": "trigonal",
  "total_energy_ev_per_atom": -3.388,
  "cell": [[2.497, 1.442, 9.259], [-2.497, 1.442, 9.259], [0.000, -2.884, 9.259]],
  "species": ["Pm", "Pm", "Y", "Tl", "Tl", "Cd", "Cd"],
  "fractional_positions": [[0.127, 0.127, 0.127], [0.873, 0.873, 0.873], [0.000, 0.000, 0.000], [0.259, 0.259, 0.259], [0.741, 0.741, 0.741], [0.389, 0.389, 0.389], [0.611, 0.611, 0.611]]
}

---

[2]
{
  "formula": "PmYTlCd",
  "functional": "GGA-PBE",
  "state": "relaxed",
  "magnetic_moment_mub_per_cell": 0.185,
  "formation_enthalpy_0k_ev_per_atom": -0.37,
  "space_group": "F-43m (216)",
  "crystal_system": "cubic",
  "total_energy_ev_per_atom": -3.993,
  "cell": [[0.000, 3.818, 3.818], [3.818, 0.000, 3.818], [3.818, 3.818, 0.000]],
  "species": ["Pm", "Y", "Tl", "Cd"],
  "fractional_positions": [[0.000, 0.000, 0.000], [0.500, 0.500, 0.500], [0.750, 0.750, 0.750], [0.250, 0.250, 0.250]]
}

---

[3]
{
  "formula": "Pm12Tm3Cd",
  "functional": "GGA-PBE",
  "state": "relaxed",
  "magnetic_moment_mub_per_cell": 0.000,
  "formation_enthalpy_0k_ev_per_atom": -0.01,
  "space_group": "P4/mmm (123)",
  "crystal_system": "tetragonal",
  "total_energy_ev_per_atom": -4.469,
  "cell": [[5.052, 0.000, 0.000], [0.000, 5.052, 0.000], [0.000, 0.000, 20.409]],
  "species": ["Pm", "Pm", "Pm", "Pm", "Pm", "Pm", "Pm", "Pm", "Pm", "Pm", "Pm", "Pm", "Tm", "Tm", "Tm", "Cd"],
  "fractional_positions": [[0.000, 0.000, 0.000], [0.000, 0.000, 0.246], [0.000, 0.000, 0.500], [0.000, 0.000, 0.754], [0.000, 0.500, 0.122], [0.000, 0.500, 0.374], [0.000, 0.500, 0.626], [0.000, 0.500, 0.878], [0.500, 0.000, 0.122], [0.500, 0.000, 0.374], [0.500, 0.000, 0.626], [0.500, 0.000, 0.878], [0.500, 0.500, 0.248], [0.500, 0.500, 0.500], [0.500, 0.500, 0.752], [0.500, 0.500, 0.000]]
}

---

[4]
{
  "formula": "Pm4TmCd2",
  "functional": "GGA-PBE",
  "state": "relaxed",
  "magnetic_moment_mub_per_cell": 0.000,
  "formation_enthalpy_0k_ev_per_atom": -0.09,
  "space_group": "P1 (1)",
  "crystal_system": "triclinic",
  "total_energy_ev_per_atom": -3.700,
  "cell": [[5.702, 0.000, 0.000], [2.522, 8.109, 0.000], [2.413, 0.685, 9.176]],
  "species": ["Pm", "Pm", "Pm", "Pm", "Pm", "Pm", "Pm", "Pm", "Tm", "Tm", "Cd", "Cd", "Cd", "Cd"],
  "fractional_positions": [[0.000, 0.000, 0.000], [0.035, 0.286, 0.492], [0.247, 0.592, 0.875], [0.355, 0.246, 0.110], [0.439, 0.531, 0.485], [0.593, 0.760, 0.038], [0.672, 0.062, 0.373], [0.799, 0.736, 0.633], [0.517, 0.153, 0.751], [0.864, 0.378, 0.848], [0.012, 0.652, 0.258], [0.194, 0.933, 0.660], [0.251, 0.906, 0.339], [0.769, 0.390, 0.183]]
}

---

[5]
{
  "formula": "Pm8Tm5Cd",
  "functional": "GGA-PBE",
  "state": "relaxed",
  "magnetic_moment_mub_per_cell": 0.000,
  "formation_enthalpy_0k_ev_per_atom": 0.21,
  "space_group": "I-4 (82)",
  "crystal_system": "tetragonal",
  "total_energy_ev_per_atom": -4.170,
  "cell": [[-4.843, 4.843, 5.023], [4.843, -4.843, 5.023], [4.843, 4.843, -5.023]],
  "species": ["Pm", "Pm", "Pm", "Pm", "Pm", "Pm", "Pm", "Pm", "Tm", "Tm", "Tm", "Tm", "Tm", "Cd"],
  "fractional_positions": [[0.083, 0.349, 0.604], [0.160, 0.439, 0.094], [0.345, 0.066, 0.906], [0.521, 0.917, 0.267], [0.561, 0.655, 0.721], [0.651, 0.255, 0.733], [0.745, 0.479, 0.396], [0.934, 0.840, 0.279], [0.020, 0.719, 0.901], [0.281, 0.182, 0.301], [0.500, 0.500, 0.000], [0.818, 0.119, 0.099], [0.881, 0.980, 0.699], [0.250, 0.750, 0.500]]
}

---

[6]
{
  "formula": "PmTmCd2",
  "functional": "GGA-PBE",
  "state": "relaxed",
  "magnetic_moment_mub_per_cell": 0.453,
  "formation_enthalpy_0k_ev_per_atom": -0.31,
  "space_group": "P4/mmm (123)",
  "crystal_system": "tetragonal",
  "e_above_lowest_polymorph_mev_per_atom": 0.0,
  "total_energy_ev_per_atom": -3.076,
  "cell": [[3.714, 0.000, 0.000], [0.000, 3.714, 0.000], [0.000, 0.000, 7.740]],
  "species": ["Pm", "Tm", "Cd", "Cd"],
  "fractional_positions": [[0.000, 0.000, 0.000], [0.000, 0.000, 0.500], [0.500, 0.500, 0.268], [0.500, 0.500, 0.732]]
}

---

[7]
{
  "formula": "PmTmCd4",
  "functional": "GGA-PBE",
  "state": "relaxed",
  "magnetic_moment_mub_per_cell": 0.000,
  "formation_enthalpy_0k_ev_per_atom": -0.31,
  "space_group": "Cmcm (63)",
  "crystal_system": "orthorhombic",
  "e_above_lowest_polymorph_mev_per_atom": 0.0,
  "total_energy_ev_per_atom": -2.460,
  "cell": [[3.452, -8.638, 0.000], [3.452, 8.638, 0.000], [0.000, 0.000, 5.001]],
  "species": ["Pm", "Pm", "Tm", "Tm", "Cd", "Cd", "Cd", "Cd", "Cd", "Cd", "Cd", "Cd"],
  "fractional_positions": [[0.122, 0.878, 0.750], [0.878, 0.122, 0.250], [0.371, 0.629, 0.250], [0.629, 0.371, 0.750], [0.045, 0.462, 0.750], [0.220, 0.303, 0.750], [0.303, 0.220, 0.250], [0.462, 0.045, 0.250], [0.538, 0.955, 0.750], [0.697, 0.780, 0.750], [0.780, 0.697, 0.250], [0.955, 0.538, 0.250]]
}

---

[8]
{
  "formula": "PmTm3Cd2",
  "functional": "GGA-PBE",
  "state": "relaxed",
  "magnetic_moment_mub_per_cell": 0.000,
  "formation_enthalpy_0k_ev_per_atom": -0.20,
  "space_group": "P4/mmm (123)",
  "crystal_system": "tetragonal",
  "total_energy_ev_per_atom": -3.530,
  "cell": [[3.646, 0.000, 0.000], [0.000, 3.646, 0.000], [0.000, 0.000, 12.510]],
  "species": ["Pm", "Tm", "Tm", "Tm", "Cd", "Cd"],
  "fractional_positions": [[0.000, 0.000, 0.000], [0.500, 0.500, 0.198], [0.500, 0.500, 0.500], [0.500, 0.500, 0.802], [0.000, 0.000, 0.350], [0.000, 0.000, 0.650]]
}

---

[9]
{
  "formula": "Pm3Tm2Cd4",
  "functional": "GGA-PBE",
  "state": "relaxed",
  "magnetic_moment_mub_per_cell": 0.003,
  "formation_enthalpy_0k_ev_per_atom": -0.10,
  "space_group": "Cmce (64)",
  "crystal_system": "orthorhombic",
  "total_energy_ev_per_atom": -3.089,
  "cell": [[3.309, -9.793, 0.000], [3.309, 9.793, 0.000], [0.000, 0.000, 8.059]],
  "species": ["Pm", "Pm", "Pm", "Pm", "Pm", "Pm", "Tm", "Tm", "Tm", "Tm", "Cd", "Cd", "Cd", "Cd", "Cd", "Cd", "Cd", "Cd"],
  "fractional_positions": [[0.000, 0.000, 0.000], [0.004, 0.496, 0.250], [0.496, 0.004, 0.750], [0.500, 0.500, 0.500], [0.504, 0.996, 0.250], [0.996, 0.504, 0.750], [0.088, 0.912, 0.399], [0.412, 0.588, 0.899], [0.588, 0.412, 0.101], [0.912, 0.088, 0.601], [0.155, 0.845, 0.022], [0.170, 0.330, 0.250], [0.330, 0.170, 0.750], [0.345, 0.655, 0.522], [0.655, 0.345, 0.478], [0.670, 0.830, 0.250], [0.830, 0.670, 0.750], [0.845, 0.155, 0.978]]
}

---

[10]
{
  "formula": "Pm2Tm2Cd",
  "functional": "GGA-PBE",
  "state": "relaxed",
  "magnetic_moment_mub_per_cell": 0.002,
  "formation_enthalpy_0k_ev_per_atom": -0.11,
  "space_group": "I4/mmm (139)",
  "crystal_system": "tetragonal",
  "e_above_lowest_polymorph_mev_per_atom": 0.0,
  "total_energy_ev_per_atom": -3.982,
  "cell": [[-1.790, 1.790, 11.690], [1.790, -1.790, 11.690], [1.790, 1.790, -11.690]],
  "species": ["Pm", "Pm", "Tm", "Tm", "Cd"],
  "fractional_positions": [[0.193, 0.193, 0.000], [0.807, 0.807, 0.000], [0.414, 0.414, 0.000], [0.586, 0.586, 0.000], [0.000, 0.000, 0.000]]
}

---

[11]
{
  "formula": "PmTm3Cd6",
  "functional": "GGA-PBE",
  "state": "relaxed",
  "magnetic_moment_mub_per_cell": 0.000,
  "formation_enthalpy_0k_ev_per_atom": -0.28,
  "space_group": "P2_1/m (11)",
  "crystal_system": "monoclinic",
  "total_energy_ev_per_atom": -2.642,
  "cell": [[9.124, 0.000, 0.000], [0.000, 5.171, 0.000], [-3.100, 0.000, 10.620]],
  "species": ["Pm", "Pm", "Tm", "Tm", "Tm", "Tm", "Tm", "Tm", "Cd", "Cd", "Cd", "Cd", "Cd", "Cd", "Cd", "Cd", "Cd", "Cd", "Cd", "Cd"],
  "fractional_positions": [[0.059, 0.250, 0.389], [0.941, 0.750, 0.611], [0.241, 0.250, 0.998], [0.351, 0.750, 0.801], [0.469, 0.250, 0.606], [0.531, 0.750, 0.394], [0.649, 0.250, 0.199], [0.759, 0.750, 0.002], [0.054, 0.750, 0.908], [0.145, 0.750, 0.199], [0.162, 0.250, 0.698], [0.252, 0.750, 0.507], [0.353, 0.250, 0.292], [0.452, 0.750, 0.098], [0.548, 0.250, 0.902], [0.647, 0.750, 0.708], [0.748, 0.250, 0.493], [0.838, 0.750, 0.302], [0.855, 0.250, 0.801], [0.946, 0.250, 0.092]]
}

---

[12]
{
  "formula": "Pm6TmCd5",
  "functional": "GGA-PBE",
  "state": "relaxed",
  "magnetic_moment_mub_per_cell": 0.003,
  "formation_enthalpy_0k_ev_per_atom": -0.23,
  "space_group": "Immm (71)",
  "crystal_system": "orthorhombic",
  "total_energy_ev_per_atom": -3.358,
  "cell": [[-2.697, 3.905, 8.172], [2.697, -3.905, 8.172], [2.697, 3.905, -8.172]],
  "species": ["Pm", "Pm", "Pm", "Pm", "Pm", "Pm", "Tm", "Cd", "Cd", "Cd", "Cd", "Cd"],
  "fractional_positions": [[0.074, 0.329, 0.745], [0.234, 0.000, 0.234], [0.415, 0.671, 0.745], [0.585, 0.329, 0.255], [0.766, 0.000, 0.766], [0.926, 0.671, 0.255], [0.500, 0.500, 0.000], [0.000, 0.500, 0.500], [0.168, 0.168, 0.000], [0.345, 0.845, 0.500], [0.655, 0.155, 0.500], [0.832, 0.832, 0.000]]
}

---

Number 3 is which compound? Pm12Tm3Cd

---

Please write out number 12 again, unchanged.
{
  "formula": "Pm6TmCd5",
  "functional": "GGA-PBE",
  "state": "relaxed",
  "magnetic_moment_mub_per_cell": 0.003,
  "formation_enthalpy_0k_ev_per_atom": -0.23,
  "space_group": "Immm (71)",
  "crystal_system": "orthorhombic",
  "total_energy_ev_per_atom": -3.358,
  "cell": [[-2.697, 3.905, 8.172], [2.697, -3.905, 8.172], [2.697, 3.905, -8.172]],
  "species": ["Pm", "Pm", "Pm", "Pm", "Pm", "Pm", "Tm", "Cd", "Cd", "Cd", "Cd", "Cd"],
  "fractional_positions": [[0.074, 0.329, 0.745], [0.234, 0.000, 0.234], [0.415, 0.671, 0.745], [0.585, 0.329, 0.255], [0.766, 0.000, 0.766], [0.926, 0.671, 0.255], [0.500, 0.500, 0.000], [0.000, 0.500, 0.500], [0.168, 0.168, 0.000], [0.345, 0.845, 0.500], [0.655, 0.155, 0.500], [0.832, 0.832, 0.000]]
}

---

Which formula does entry 11 have? PmTm3Cd6